TbY6Tm4 PBE-GGA relaxed; DOS(E_F) = 16.487 states/eV per cell; energy of formation = 171.8 kJ/mol of formula units; calculated volume = 360 Å³ per cell; offset from the most stable computed form = 0 meV per atom; space-group type = P-6m2
1.0
-3.4790 -0.1327 0.5902
-1.3862 -5.3027 -9.3624
1.7654 -5.5375 9.1605
Tb Y Tm
1 6 4
direct
0.0000 0.0000 0.0000 Tb
0.0000 0.5207 0.0415 Y
0.5000 0.6340 0.8170 Y
0.0000 0.5207 0.4793 Y
0.0000 0.9585 0.4793 Y
0.5000 0.1830 0.8170 Y
0.5000 0.1830 0.3660 Y
0.5000 0.8399 0.6799 Tm
0.5000 0.3201 0.1601 Tm
0.5000 0.8399 0.1601 Tm
0.0000 0.3333 0.6667 Tm

***

Tb2Y5Tm5 PBE-GGA relaxed; DOS(E_F) = 16.517 states/eV per cell; energy of formation = 29.8 kJ/mol of formula units; calculated volume = 375 Å³ per cell; offset from the most stable computed form = 0 meV per atom; space-group type = C2/m
1.0
4.9944 0.0000 0.0000
-2.4972 7.4846 -0.4847
0.0000 -4.3376 10.3055
Tb Y Tm
2 5 5
direct
0.0831 0.1663 0.7511 Tb
0.9169 0.8337 0.2489 Tb
0.1653 0.3305 0.4990 Y
0.7507 0.5013 0.7516 Y
0.2493 0.4987 0.2484 Y
0.8347 0.6695 0.5010 Y
0.0000 0.0000 0.0000 Y
0.5000 0.0000 0.5000 Tm
0.6673 0.3347 0.0003 Tm
0.5825 0.1650 0.2495 Tm
0.4175 0.8350 0.7505 Tm
0.3327 0.6653 0.9997 Tm

***

TbY3Tm8 PBE-GGA relaxed; DOS(E_F) = 17.612 states/eV per cell; energy of formation = 361.2 kJ/mol of formula units; calculated volume = 398 Å³ per cell; space-group type = Immm
1.0
8.1336 -1.2905 -2.2005
-5.8341 6.0787 -1.2944
1.1982 1.2905 8.3404
Tb Y Tm
1 3 8
direct
0.0000 0.0000 0.0000 Tb
0.5000 0.7502 0.2502 Y
0.5000 0.2498 0.7498 Y
0.0000 0.5000 0.5000 Y
0.4995 0.2496 0.2498 Tm
0.5005 0.7503 0.7501 Tm
0.0002 0.7504 0.2499 Tm
0.9998 0.2497 0.7502 Tm
0.1687 0.2499 0.4188 Tm
0.8313 0.2501 0.0812 Tm
0.1689 0.7501 0.9188 Tm
0.8311 0.7499 0.5812 Tm

***

Tb2Y6Tm5 PBE-GGA relaxed; DOS(E_F) = 32.803 states/eV per cell; energy of formation = 130.5 kJ/mol of formula units; calculated volume = 832 Å³ per cell; space-group type = Pbam
1.0
-0.7519 3.0992 1.5933
-4.6873 -5.7428 8.9584
17.8734 -0.3546 9.1245
Tb Y Tm
4 12 10
direct
0.0000 0.3365 0.2892 Tb
0.0000 0.6635 0.7108 Tb
0.0000 0.8365 0.2108 Tb
0.0000 0.1635 0.7892 Tb
0.0000 0.0863 0.3689 Y
0.0000 0.9137 0.6311 Y
0.0000 0.5863 0.1311 Y
0.0000 0.4137 0.8689 Y
0.5000 0.3274 0.1324 Y
0.5000 0.6726 0.8676 Y
0.5000 0.8274 0.3676 Y
0.5000 0.1726 0.6324 Y
0.0000 0.5571 0.4191 Y
0.0000 0.4429 0.5809 Y
0.0000 0.0571 0.0809 Y
0.0000 0.9429 0.9191 Y
0.5000 0.3016 0.4506 Tm
0.5000 0.6984 0.5494 Tm
0.5000 0.8016 0.0494 Tm
0.5000 0.1984 0.9506 Tm
0.5000 0.5936 0.2733 Tm
0.5000 0.4064 0.7267 Tm
0.5000 0.0936 0.2267 Tm
0.5000 0.9064 0.7733 Tm
0.5000 0.5000 0.0000 Tm
0.5000 0.0000 0.5000 Tm

***

Tb5Y2Tm3 PBE-GGA relaxed; DOS(E_F) = 32.525 states/eV per cell; energy of formation = 407.3 kJ/mol of formula units; calculated volume = 681 Å³ per cell; offset from the most stable computed form = 219 meV per atom; space-group type = Ibam
1.0
6.7217 0.0000 0.0000
3.3609 11.4679 2.8800
3.3609 5.8200 10.2924
Tb Y Tm
10 4 6
direct
0.2500 0.5000 0.5000 Tb
0.7500 0.5000 0.5000 Tb
0.5010 0.7490 0.7490 Tb
0.9990 0.2510 0.2510 Tb
0.4990 0.2510 0.2510 Tb
0.0010 0.7490 0.7490 Tb
0.1238 0.4690 0.2834 Tb
0.8762 0.5310 0.7166 Tb
0.6238 0.2834 0.4690 Tb
0.3762 0.7166 0.5310 Tb
0.1253 0.7807 0.9687 Y
0.8747 0.2193 0.0313 Y
0.6253 0.9687 0.7807 Y
0.3747 0.0313 0.2193 Y
0.2500 0.0000 0.0000 Tm
0.7500 0.0000 0.0000 Tm
0.3777 0.3713 0.8732 Tm
0.6223 0.6287 0.1268 Tm
0.8777 0.8732 0.3713 Tm
0.1223 0.1268 0.6287 Tm

***

Tb5Y4Tm PBE-GGA relaxed; DOS(E_F) = 13.982 states/eV per cell; energy of formation = 239.8 kJ/mol of formula units; calculated volume = 331 Å³ per cell; offset from the most stable computed form = 230 meV per atom; space-group type = I4mm
1.0
5.9051 0.0000 0.0000
2.9526 7.4823 0.0000
2.9526 0.0000 7.4823
Tb Y Tm
5 4 1
direct
0.7644 0.3761 0.9998 Tb
0.1405 0.9998 0.6239 Tb
0.7642 0.0002 0.3761 Tb
0.1403 0.6239 0.0002 Tb
0.6873 0.0000 0.0000 Tb
0.4492 0.3216 0.6785 Y
0.7709 0.6785 0.6784 Y
0.1278 0.3215 0.3216 Y
0.4494 0.6784 0.3215 Y
0.2164 0.0000 0.0000 Tm

***

TbY2Tm8 PBE-GGA relaxed; DOS(E_F) = 19.464 states/eV per cell; energy of formation = 117.6 kJ/mol of formula units; calculated volume = 341 Å³ per cell; offset from the most stable computed form = 0 meV per atom; space-group type = C2/m
1.0
5.3724 0.0000 0.0000
0.0000 8.2493 -0.1721
-2.6862 -3.6414 7.7792
Tb Y Tm
1 2 8
direct
0.5000 0.0000 0.0000 Tb
0.7967 0.3432 0.5934 Y
0.2033 0.6568 0.4066 Y
0.3846 0.5593 0.7691 Tm
0.6651 0.8927 0.3303 Tm
0.8424 0.8064 0.6848 Tm
0.9816 0.2771 0.9632 Tm
0.1576 0.1936 0.3152 Tm
0.3349 0.1073 0.6697 Tm
0.6154 0.4407 0.2309 Tm
0.0184 0.7229 0.0368 Tm

***

Tb5Y4Tm2 PBE-GGA relaxed; DOS(E_F) = 17.981 states/eV per cell; energy of formation = 269.5 kJ/mol of formula units; calculated volume = 368 Å³ per cell; offset from the most stable computed form = 130 meV per atom; space-group type = Immm
1.0
3.5047 0.0000 0.0000
0.0000 9.0225 0.0000
-1.7523 -4.5113 11.6230
Tb Y Tm
5 4 2
direct
0.8536 0.0527 0.7071 Tb
0.8536 0.6544 0.7071 Tb
0.1464 0.3456 0.2929 Tb
0.1464 0.9473 0.2929 Tb
0.5000 0.0000 0.0000 Tb
0.0000 0.3087 0.0000 Y
0.5982 0.5982 0.1964 Y
0.0000 0.6913 0.0000 Y
0.4018 0.4018 0.8036 Y
0.2688 0.2688 0.5375 Tm
0.7312 0.7312 0.4625 Tm

***

Tb8YTm5 PBE-GGA relaxed; DOS(E_F) = 21.256 states/eV per cell; energy of formation = 344.1 kJ/mol of formula units; calculated volume = 456 Å³ per cell; space-group type = I-4
1.0
8.0169 0.0000 -2.5312
-4.1067 6.7223 -2.9367
0.1964 0.0000 8.4047
Tb Y Tm
8 1 5
direct
0.1624 0.7375 0.0805 Tb
0.9195 0.0820 0.6570 Tb
0.7278 0.2547 0.3333 Tb
0.6667 0.3945 0.9214 Tb
0.5269 0.6055 0.2722 Tb
0.5751 0.9180 0.8376 Tb
0.3430 0.2625 0.4249 Tb
0.0786 0.7453 0.4731 Tb
0.2500 0.5000 0.7500 Y
0.0375 0.3189 0.1338 Tm
0.8662 0.9037 0.1851 Tm
0.8149 0.6811 0.7186 Tm
0.5000 0.0000 0.5000 Tm
0.2814 0.0963 0.9625 Tm

***

Tb3Y5Tm4 PBE-GGA relaxed; DOS(E_F) = 20.087 states/eV per cell; energy of formation = 287.4 kJ/mol of formula units; calculated volume = 386 Å³ per cell; offset from the most stable computed form = 223 meV per atom; space-group type = C2/m
1.0
5.8355 0.0000 0.0000
2.9177 7.5507 -2.6966
2.9177 -0.9056 9.0784
Tb Y Tm
3 5 4
direct
0.5208 0.6871 0.2714 Tb
0.0000 0.5000 0.5000 Tb
0.4792 0.3130 0.7286 Tb
0.6261 0.9492 0.7986 Y
0.5000 0.5000 0.5000 Y
0.2135 0.4598 0.1131 Y
0.7865 0.5402 0.8869 Y
0.3739 0.0508 0.2014 Y
0.8595 0.2209 0.0600 Tm
0.1643 0.0490 0.6224 Tm
0.8357 0.9510 0.3776 Tm
0.1405 0.7791 0.9400 Tm

***

Tb3Y2Tm7 PBE-GGA relaxed; DOS(E_F) = 18.548 states/eV per cell; energy of formation = 132.7 kJ/mol of formula units; calculated volume = 375 Å³ per cell; offset from the most stable computed form = 28 meV per atom; space-group type = Cmmm
1.0
-3.4076 0.4097 0.9347
0.9598 -2.8498 4.7485
3.8492 17.4646 6.3770
Tb Y Tm
3 2 7
direct
0.5000 0.5000 0.0000 Tb
0.5000 0.6856 0.3711 Tb
0.5000 0.3144 0.6289 Tb
0.0000 0.8532 0.7064 Y
0.0000 0.1468 0.2936 Y
0.0000 0.4090 0.8180 Tm
0.0000 0.7694 0.5387 Tm
0.0000 0.0000 0.0000 Tm
0.0000 0.5910 0.1820 Tm
0.5000 0.0711 0.1422 Tm
0.5000 0.9289 0.8578 Tm
0.0000 0.2306 0.4613 Tm

***

TbY5Tm2 PBE-GGA relaxed; DOS(E_F) = 21.343 states/eV per cell; energy of formation = 18.5 kJ/mol of formula units; calculated volume = 505 Å³ per cell; space-group type = Pbam
1.0
5.0084 0.0000 0.0000
0.0000 7.1005 0.0000
0.0000 0.0000 14.2021
Tb Y Tm
2 10 4
direct
0.0000 0.0000 0.5000 Tb
0.0000 0.5000 0.0000 Tb
0.0000 0.0000 0.0000 Y
0.0000 0.5000 0.5000 Y
0.0000 0.4991 0.7505 Y
0.0000 0.5009 0.2495 Y
0.0000 0.0009 0.2505 Y
0.0000 0.9991 0.7495 Y
0.5000 0.2499 0.8751 Y
0.5000 0.7501 0.1249 Y
0.5000 0.2501 0.3751 Y
0.5000 0.7499 0.6249 Y
0.5000 0.2490 0.6247 Tm
0.5000 0.7510 0.3753 Tm
0.5000 0.2510 0.1247 Tm
0.5000 0.7490 0.8753 Tm

***

Tb4Y3Tm5 PBE-GGA relaxed; DOS(E_F) = 19.800 states/eV per cell; energy of formation = 291.2 kJ/mol of formula units; calculated volume = 385 Å³ per cell; offset from the most stable computed form = 228 meV per atom; space-group type = C2/m
1.0
5.8390 0.0000 0.0000
2.9195 7.5231 -2.6221
2.9195 -0.8576 9.0686
Tb Y Tm
4 3 5
direct
0.8614 0.2212 0.0560 Tb
0.1661 0.0476 0.6202 Tb
0.8339 0.9524 0.3798 Tb
0.1386 0.7788 0.9440 Tb
0.5242 0.6870 0.2647 Y
0.0000 0.5000 0.5000 Y
0.4758 0.3130 0.7353 Y
0.6287 0.9426 0.8001 Tm
0.5000 0.5000 0.5000 Tm
0.2126 0.4594 0.1154 Tm
0.7874 0.5406 0.8846 Tm
0.3713 0.0574 0.1999 Tm

***

Tb4YTm6 PBE-GGA relaxed; DOS(E_F) = 16.082 states/eV per cell; energy of formation = 494.1 kJ/mol of formula units; calculated volume = 374 Å³ per cell; offset from the most stable computed form = 154 meV per atom; space-group type = I-42m
1.0
-0.4298 -7.4317 -1.6777
5.2699 -1.5036 5.3101
-7.0541 3.7437 2.5778
Tb Y Tm
4 1 6
direct
0.0949 0.7546 0.8495 Tb
0.9051 0.9051 0.1505 Tb
0.7546 0.0949 0.8495 Tb
0.2454 0.2454 0.1505 Tb
0.5000 0.5000 0.0000 Y
0.9326 0.4343 0.3668 Tm
0.4343 0.9326 0.3668 Tm
0.5657 0.5657 0.6332 Tm
0.0000 0.5000 0.0000 Tm
0.0674 0.0674 0.6332 Tm
0.5000 0.0000 0.0000 Tm

***

TbY12Tm6 PBE-GGA relaxed; DOS(E_F) = 32.154 states/eV per cell; energy of formation = 479.0 kJ/mol of formula units; calculated volume = 634 Å³ per cell; space-group type = R-3
1.0
8.6949 0.1264 -2.6714
-3.6486 7.8934 -2.6714
0.0795 0.1264 9.0957
Tb Y Tm
1 12 6
direct
0.0000 0.0000 0.0000 Tb
0.4813 0.1915 0.5758 Y
0.1915 0.5758 0.4813 Y
0.5758 0.4813 0.1915 Y
0.5187 0.8085 0.4242 Y
0.8085 0.4242 0.5187 Y
0.4242 0.5187 0.8085 Y
0.2804 0.1382 0.8263 Y
0.1737 0.7196 0.8618 Y
0.8618 0.1737 0.7196 Y
0.7196 0.8618 0.1737 Y
0.8263 0.2804 0.1382 Y
0.1382 0.8263 0.2804 Y
0.0748 0.1850 0.4553 Tm
0.8150 0.5447 0.9252 Tm
0.5447 0.9252 0.8150 Tm
0.9252 0.8150 0.5447 Tm
0.1850 0.4553 0.0748 Tm
0.4553 0.0748 0.1850 Tm

***

TbY2Tm PBE-GGA relaxed; DOS(E_F) = 6.601 states/eV per cell; energy of formation = 3.5 kJ/mol of formula units; calculated volume = 127 Å³ per cell; offset from the most stable computed form = 6 meV per atom; space-group type = R3m
1.0
3.5782 0.0000 0.0000
1.7891 3.0988 0.0000
1.7891 1.0329 11.4320
Tb Y Tm
1 2 1
direct
0.6664 0.6664 0.0009 Tb
0.0844 0.0844 0.7468 Y
0.2489 0.2489 0.2534 Y
0.5004 0.5004 0.4989 Tm

***

Tb2YTm5 PBE-GGA relaxed; DOS(E_F) = 26.122 states/eV per cell; energy of formation = 100.4 kJ/mol of formula units; calculated volume = 501 Å³ per cell; offset from the most stable computed form = 107 meV per atom; space-group type = P-1
1.0
9.2717 -0.1297 -3.3365
-4.1668 7.9316 0.7061
-6.6541 -0.2970 9.2978
Tb Y Tm
4 2 10
direct
0.6682 0.5287 0.3581 Tb
0.8386 0.6620 0.1613 Tb
0.3318 0.4713 0.6419 Tb
0.1614 0.3380 0.8387 Tb
0.8052 0.5184 0.7522 Y
0.1948 0.4816 0.2478 Y
0.1240 0.8821 0.0494 Tm
0.9316 0.9192 0.6068 Tm
0.5148 0.8237 0.5545 Tm
0.4413 0.8102 0.0726 Tm
0.6962 0.2175 0.2954 Tm
0.3038 0.7825 0.7046 Tm
0.4852 0.1763 0.4455 Tm
0.5587 0.1898 0.9274 Tm
0.8760 0.1179 0.9506 Tm
0.0684 0.0808 0.3932 Tm

***

Tb2YTm7 PBE-GGA relaxed; DOS(E_F) = 11.902 states/eV per cell; energy of formation = 684.1 kJ/mol of formula units; calculated volume = 377 Å³ per cell; offset from the most stable computed form = 654 meV per atom; space-group type = Cmmm
1.0
5.1406 0.0000 0.0000
0.0000 9.5183 -0.8021
0.0000 -5.0101 8.1327
Tb Y Tm
2 1 7
direct
0.5000 0.7012 0.2988 Tb
0.5000 0.2988 0.7012 Tb
0.0000 0.0000 0.0000 Y
0.0000 0.8043 0.1956 Tm
0.0000 0.1957 0.8044 Tm
0.5000 0.0701 0.2870 Tm
0.5000 0.9299 0.7130 Tm
0.5000 0.2870 0.0701 Tm
0.5000 0.7130 0.9299 Tm
0.5000 0.5000 0.5000 Tm

***

Tb19Y6Tm4 PBE-GGA relaxed; DOS(E_F) = 45.793 states/eV per cell; energy of formation = 1070.7 kJ/mol of formula units; calculated volume = 964 Å³ per cell; space-group type = I23
1.0
10.1611 0.0000 -3.5925
-5.0805 8.7998 -3.5925
0.0000 0.0000 10.7775
Tb Y Tm
19 6 4
direct
0.7411 0.0000 0.7411 Tb
0.2589 0.0000 0.2589 Tb
0.2589 0.2589 0.0000 Tb
0.7411 0.7411 0.0000 Tb
0.0000 0.7411 0.7411 Tb
0.0000 0.2589 0.2589 Tb
0.0000 0.0000 0.0000 Tb
0.1943 0.2142 0.5365 Tb
0.8057 0.3422 0.0200 Tb
0.6777 0.6578 0.4635 Tb
0.0200 0.8057 0.3422 Tb
0.3223 0.7858 0.9800 Tb
0.5365 0.1943 0.2142 Tb
0.9800 0.3223 0.7858 Tb
0.4635 0.6777 0.6578 Tb
0.7858 0.9800 0.3223 Tb
0.3422 0.0200 0.8057 Tb
0.2142 0.5365 0.1943 Tb
0.6578 0.4635 0.6777 Tb
0.3711 0.5000 0.8711 Y
0.6289 0.5000 0.1289 Y
0.1289 0.6289 0.5000 Y
0.8711 0.3711 0.5000 Y
0.5000 0.8711 0.3711 Y
0.5000 0.1289 0.6289 Y
0.0000 0.0000 0.6418 Tm
0.0000 0.6418 0.0000 Tm
0.3582 0.3582 0.3582 Tm
0.6418 0.0000 0.0000 Tm